{"formula": "SrAcGaSn", "functional": "PBE", "state": "relaxed", "n_ef_per_ev_cell": 1.90, "formation_enthalpy_0k_ev_per_fu": -2.43, "m_tot_mub_per_cell": 0.000, "space_group": "Amm2", "relative_energy_mev_per_atom": 0, "lattice_angstrom": [[4.4670, 0.0000, 0.0000], [0.0000, 2.4703, 6.0305], [0.0000, -2.4703, 6.0305]], "species": ["Sr", "Ac", "Ga", "Sn"], "fractional_positions": [[0.0000, 0.0000, 0.0000], [0.5000, 0.2765, 0.2765], [0.0000, 0.7165, 0.7165], [0.5000, 0.5693, 0.5693]]}